## Y3In2H (GGA-PBE)

Data for a geometry-optimized Y3In2H structure.

Results
As for the density: 5.63 g cm⁻³. The total energy is -60.9 eV per cell.

a b c (Å): 7.6942 7.6942 6.7127
angles (deg): 97.23 97.23 48.17
Last column: nearest neighbours and their distance in Å.
Element x y z (fractional)
Y 0.0880 0.9120 0.7500  1 H 2.17
Y 0.2850 0.4678 0.3628  1 H 2.22
Y 0.4678 0.2850 0.8628  1 H 2.22
Y 0.5322 0.7150 0.1372  1 H 2.22
Y 0.7150 0.5322 0.6372  1 H 2.22
Y 0.9120 0.0880 0.2500  1 H 2.17
In 0.1086 0.2582 0.0387  1 In 2.98, 5 Y 3.11-3.27
In 0.2582 0.1086 0.5387  1 In 2.98, 5 Y 3.11-3.27
In 0.7418 0.8914 0.4613  1 In 2.98, 5 Y 3.11-3.27
In 0.8914 0.7418 0.9613  1 In 2.98, 5 Y 3.11-3.27
H 0.4334 0.5666 0.7500  3 Y 2.17-2.22
H 0.5666 0.4334 0.2500  3 Y 2.17-2.22

## Cs2KRbMg (GGA-PBE)

Data for a geometry-optimized Cs2KRbMg structure.

Results
The energy above the most stable polymorph in this dataset comes out at 14 meV per atom. The calculation puts the formation energy from the elements at 0.18 eV/atom. As for the density: 1.51 g cm⁻³. The total energy is -4.5 eV per cell.

a b c (Å): 7.7756 7.7756 7.5211
angles (deg): 90.00 90.00 90.00
Last column: nearest neighbours and their distance in Å.
Element x y z (fractional)
Cs 0.0000 0.5000 0.0000  2 Mg 3.89
Cs 0.5000 0.0000 0.0000  2 Mg 3.89
K 0.0000 0.0000 0.5000  8 Cs 5.41, 4 Rb 5.50
Rb 0.5000 0.5000 0.5000  2 Mg 3.76
Mg 0.5000 0.5000 0.0000  2 Rb 3.76, 4 Cs 3.89

## TmCu2Se3 (GGA-PBE)

Data for a geometry-optimized TmCu2Se3 structure.

Results
The calculation puts the formation energy without anion corrections at -65.0 kJ/mol of atoms. As for the density: 6.97 g cm⁻³. The total energy is -54.3 eV per cell.

a b c (Å): 7.5505 7.5505 4.8055
angles (deg): 90.00 90.00 111.98
Last column: nearest neighbours and their distance in Å.
Element x y z (fractional)
Tm 0.2403 0.7597 0.7500  8 Se 2.92-3.10
Tm 0.7597 0.2403 0.2500  8 Se 2.92-3.10
Cu 0.2985 0.2985 0.0000  2 Cu 2.40, 4 Se 2.43-2.53
Cu 0.2985 0.2985 0.5000  2 Cu 2.40, 4 Se 2.43-2.53
Cu 0.7015 0.7015 0.0000  2 Cu 2.40, 4 Se 2.43-2.53
Cu 0.7015 0.7015 0.5000  2 Cu 2.40, 4 Se 2.43-2.53
Se 0.0405 0.3456 0.7500  2 Cu 2.43
Se 0.3456 0.0405 0.2500  2 Cu 2.43
Se 0.3854 0.6146 0.2500  4 Cu 2.53
Se 0.6146 0.3854 0.7500  4 Cu 2.53
Se 0.6544 0.9595 0.7500  2 Cu 2.43
Se 0.9595 0.6544 0.2500  2 Cu 2.43

## Cs5ZnBi2 (GGA-PBE)

Data for a geometry-optimized Cs5ZnBi2 structure.

Results
The calculation puts the formation energy from the elements at -0.30 eV/atom. As for the density: 4.13 g cm⁻³. The total energy is -31.4 eV per cell.

a b c (Å): 6.8518 6.8518 22.7036
angles (deg): 90.00 90.00 120.00
Last column: nearest neighbours and their distance in Å.
Element x y z (fractional)
Cs 0.0000 0.0000 0.1409  3 Bi 3.96
Cs 0.0000 0.0000 0.3591  3 Bi 3.96
Cs 0.0000 0.0000 0.6409  3 Bi 3.96
Cs 0.0000 0.0000 0.8591  3 Bi 3.96
Cs 0.3333 0.6667 0.0460  4 Bi 4.08-4.43, 6 Cs 4.47-4.50
Cs 0.3333 0.6667 0.2500  3 Zn 3.96
Cs 0.3333 0.6667 0.4540  4 Bi 4.08-4.43, 6 Cs 4.47-4.50
Cs 0.6667 0.3333 0.5460  4 Bi 4.08-4.43, 6 Cs 4.47-4.50
Cs 0.6667 0.3333 0.7500  3 Zn 3.96
Cs 0.6667 0.3333 0.9540  4 Bi 4.08-4.43, 6 Cs 4.47-4.50
Zn 0.3333 0.6667 0.7500  2 Bi 2.64
Zn 0.6667 0.3333 0.2500  2 Bi 2.64
Bi 0.3333 0.6667 0.6338  1 Zn 2.64
Bi 0.3333 0.6667 0.8662  1 Zn 2.64
Bi 0.6667 0.3333 0.1338  1 Zn 2.64
Bi 0.6667 0.3333 0.3662  1 Zn 2.64

## NaTe2Au2 (GGA-PBE)

Data for a geometry-optimized NaTe2Au2 structure.

Results
The energy above the most stable polymorph in this dataset comes out at 0 meV per atom. The calculation puts the formation energy without anion corrections at -27.8 kJ/mol of atoms. As for the density: 6.82 g cm⁻³. The total energy is -31.2 eV per cell.

a b c (Å): 8.0556 8.0556 6.1346
angles (deg): 104.04 104.04 113.51
Last column: nearest neighbours and their distance in Å.
Element x y z (fractional)
Na 0.1073 0.8927 0.7500  4 Au 3.23-3.47, 2 Te 3.30
Na 0.8927 0.1073 0.2500  4 Au 3.23-3.47, 2 Te 3.30
Te 0.1971 0.8029 0.2500  2 Au 2.62
Te 0.4554 0.5446 0.7500  2 Au 2.66
Te 0.5446 0.4554 0.2500  2 Au 2.66
Te 0.8029 0.1971 0.7500  2 Au 2.62
Au 0.1805 0.3346 0.9609  2 Te 2.62-2.66
Au 0.3346 0.1805 0.4609  2 Te 2.62-2.66
Au 0.6654 0.8195 0.5391  2 Te 2.62-2.66
Au 0.8195 0.6654 0.0391  2 Te 2.62-2.66

## Rb2ErTmS4 (GGA-PBE)

Data for a geometry-optimized Rb2ErTmS4 structure.

Results
The calculation puts the formation energy without anion corrections at -178.8 kJ/mol of atoms. As for the density: 4.87 g cm⁻³. The total energy is -42.3 eV per cell.

a b c (Å): 6.9910 4.0363 8.0211
angles (deg): 90.00 106.88 90.00
Last column: nearest neighbours and their distance in Å.
Element x y z (fractional)
Rb 0.0000 0.0000 0.0000  6 S 3.33
Rb 0.5000 0.5000 0.0000  6 S 3.33
Er 0.0000 0.5000 0.5000  6 S 2.75
Tm 0.5000 0.0000 0.5000  6 S 2.74
S 0.2310 0.0000 0.6901  1 Tm 2.74, 2 Er 2.75
S 0.2712 0.5000 0.3103  2 Tm 2.74, 1 Er 2.75
S 0.7288 0.5000 0.6897  2 Tm 2.74, 1 Er 2.75
S 0.7690 0.0000 0.3099  1 Tm 2.74, 2 Er 2.75